Entry 1:
! PrHoAu, relaxed, DFT PBE; values from VASP
! Magnetization in μB per formula unit: 0.00
! V in Å³/cell: 92
! Space-group type: F-43m, No. 216
! Energy in eV/f.u.: -13.808
! Energy above the lowest structure with this stoichiometry in eV per formula unit: 0.61
&SYSTEM
  ibrav = 0, nat = 3, ntyp = 3
/
ATOMIC_SPECIES
Au 196.97 Au.upf
Pr 140.91 Pr.upf
Ho 164.93 Ho.upf
ATOMIC_POSITIONS crystal
Au 0.2500 0.2500 0.2500
Pr 0.5000 0.5000 0.5000
Ho 0.0000 0.0000 0.0000
CELL_PARAMETERS angstrom
5.0675 0.0000 0.0000
2.5338 4.3886 0.0000
2.5338 1.4629 4.1376

---

Entry 2:
! PrHo2Au3, relaxed, DFT PBE; values from VASP
! Magnetization in μB per formula unit: 0.00
! V in Å³/cell: 144
! Space-group type: P4/mmm, No. 123
! Energy in eV/f.u.: -28.777
&SYSTEM
  ibrav = 0, nat = 6, ntyp = 3
/
ATOMIC_SPECIES
Au 196.97 Au.upf
Ho 164.93 Ho.upf
Pr 140.91 Pr.upf
ATOMIC_POSITIONS crystal
Au 0.0000 0.0000 0.6865
Au 0.0000 0.0000 0.0000
Au 0.0000 0.0000 0.3135
Ho 0.5000 0.5000 0.8381
Ho 0.5000 0.5000 0.1619
Pr 0.5000 0.5000 0.5000
CELL_PARAMETERS angstrom
-3.2953 1.2276 0.7927
-0.1580 -2.2432 2.8173
4.4648 7.8084 6.4676